{
  "formula": "NiRh2Au",
  "functional": "PBE",
  "state": "optimized geometry",
  "e_above_lowest_polymorph_ev_per_atom": 0.407,
  "n_ef_per_ev_fu": 8.6,
  "e_tot_ev_per_atom": -5.436,
  "vol_a3_per_atom": 15.69,
  "formation_enthalpy_0k_mev_per_atom": 505,
  "cell": [[-3.4997, 3.4997, 2.5614], [3.4997, -3.4997, 2.5614], [3.4997, 3.4997, -2.5614]],
  "species": ["Ni", "Ni", "Rh", "Rh", "Rh", "Rh", "Au", "Au"],
  "frac_coords": [[0.0000, 0.0000, 0.0000], [0.7500, 0.2500, 0.5000], [0.0862, 0.6250, 0.9612], [0.3750, 0.3362, 0.4612], [0.6638, 0.1250, 0.0388], [0.8750, 0.9138, 0.5388], [0.2500, 0.7500, 0.5000], [0.5000, 0.5000, 0.0000]]
}

=====

{
  "formula": "Zr2TeI",
  "functional": "PBE",
  "state": "optimized geometry",
  "e_above_lowest_polymorph_ev_per_atom": 0.477,
  "n_ef_per_ev_fu": 4.9,
  "e_tot_ev_per_atom": -5.367,
  "vol_a3_per_atom": 27.70,
  "raw_formation_energy_ev_per_atom": 0.080,
  "cell": [[-3.9043, 3.9043, 3.6340], [3.9043, -3.9043, 3.6340], [3.9043, 3.9043, -3.6340]],
  "species": ["Zr", "Zr", "Zr", "Zr", "Te", "Te", "I", "I"],
  "frac_coords": [[0.1212, 0.1250, 0.4962], [0.3750, 0.8788, 0.0038], [0.6288, 0.6250, 0.5038], [0.8750, 0.3712, 0.9962], [0.0000, 0.0000, 0.0000], [0.7500, 0.2500, 0.5000], [0.2500, 0.7500, 0.5000], [0.5000, 0.5000, 0.0000]]
}